## RbNdCdCl6 (PBE)

Data for RbNdCdCl6 after structural relaxation.

Lattice parameters (Å, degrees): 7.1034 7.1034 14.4196 90.00 90.00 120.00
Fractional coordinates of all 18 atoms:
Rb  0.0000  0.0000  0.0000
Rb  0.0000  0.0000  0.5000
Nd  0.3333  0.6667  0.2500
Nd  0.6667  0.3333  0.7500
Cd  0.3333  0.6667  0.7500
Cd  0.6667  0.3333  0.2500
Cl  0.0089  0.3814  0.6422
Cl  0.0089  0.6276  0.8578
Cl  0.3724  0.3814  0.8578
Cl  0.3724  0.9911  0.6422
Cl  0.3814  0.0089  0.1422
Cl  0.3814  0.3724  0.3578
Cl  0.6186  0.6276  0.6422
Cl  0.6186  0.9911  0.8578
Cl  0.6276  0.0089  0.3578
Cl  0.6276  0.6186  0.1422
Cl  0.9911  0.3724  0.1422
Cl  0.9911  0.6186  0.3578

Values from the calculation:
Its volume is 35.01 A^3/atom. The density of states at the Fermi level is 0.000 states/eV per atom. Its formation energy from raw total energies is -1.83 eV per atom. Its space-group type is P-31c.